Run i
BaNaAg PBE relaxed; total moment = 0.000 Bohr magnetons per cell; symmetry = Cmcm (63)
1.0
4.852 0.000 0.000
0.000 4.513 -0.897
0.000 -0.264 10.464
Ba Na Ag
2 2 2
Direct
0.750 0.909 0.819
0.250 0.091 0.181
0.750 0.706 0.413
0.250 0.294 0.587
0.750 0.540 0.080
0.250 0.460 0.920

***

Run ii
BaNaAg PBE relaxed; total moment = 0.000 Bohr magnetons per cell; symmetry = P3m1 (156)
1.0
-3.940 1.703 -1.622
-1.960 0.058 4.822
2.548 4.157 -1.824
Na Ba Ag
1 1 1
Direct
0.166 0.000 0.000
0.667 0.667 0.333
0.168 0.333 0.667

***

Run iii
BaNaAg PBE relaxed; total moment = 0.000 Bohr magnetons per cell; symmetry = F-43m (216)
1.0
5.536 0.000 0.000
2.768 4.794 0.000
2.768 1.598 4.520
Ba Na Ag
1 1 1
Direct
0.000 0.000 0.000
0.500 0.500 0.500
0.250 0.250 0.250

***

Stability ranking, top and bottom: run i is the most stable and run iii is the least stable.

***

Run i
BaNaAg PBE relaxed; total moment = 0.000 Bohr magnetons per cell; symmetry = C2/m (12)
1.0
4.841 0.000 0.000
2.420 7.409 -0.057
2.420 1.337 6.061
Ag Na Ba
2 2 2
Direct
0.133 0.339 0.395
0.867 0.661 0.605
0.806 0.083 0.305
0.194 0.917 0.695
0.572 0.672 0.184
0.428 0.328 0.816

***

Run ii
BaNaAg PBE relaxed; total moment = 0.000 Bohr magnetons per cell; symmetry = Cmce (64)
1.0
6.723 0.000 0.000
-3.362 7.130 0.000
0.000 0.000 9.167
Ag Na Ba
4 4 4
Direct
0.095 0.190 0.953
0.405 0.810 0.453
0.905 0.810 0.047
0.595 0.190 0.547
0.805 0.110 0.250
0.195 0.890 0.750
0.695 0.890 0.750
0.305 0.110 0.250
0.816 0.633 0.398
0.684 0.367 0.898
0.184 0.367 0.602
0.316 0.633 0.102

***

Stability ranking, top and bottom: run i is the most stable and run ii is the least stable.

***

Run i
Ba2NaAg PBE relaxed; total moment = 0.000 Bohr magnetons per cell; symmetry = P4/mmm (123)
1.0
4.178 0.000 0.000
0.000 4.178 0.000
0.000 0.000 9.723
Ag Ba Na
1 2 1
Direct
0.500 0.500 0.000
0.000 0.000 0.201
0.000 0.000 0.799
0.500 0.500 0.500

***

Run ii
Ba2NaAg PBE relaxed; total moment = 0.000 Bohr magnetons per cell; symmetry = I-42d (122)
1.0
-6.572 -6.387 -3.089
5.237 -1.527 -7.986
1.338 -6.932 -3.654
Ba Ag Na
4 2 2
Direct
0.875 0.922 0.750
0.672 0.125 0.250
0.375 0.328 0.750
0.078 0.625 0.250
0.000 0.000 0.000
0.750 0.250 0.500
0.500 0.500 0.000
0.250 0.750 0.500

***

Run iii
Ba2NaAg PBE relaxed; total moment = 0.000 Bohr magnetons per cell; symmetry = R-3m (166)
1.0
-2.658 -3.283 2.035
-1.520 -3.665 -2.497
8.350 -8.373 2.804
Na Ag Ba
1 1 2
Direct
0.000 0.000 0.000
0.500 0.500 0.500
0.887 0.887 0.339
0.113 0.113 0.661

***

Run iv
Ba2NaAg PBE relaxed; total moment = 0.000 Bohr magnetons per cell; symmetry = Fm-3m (225)
1.0
1.584 -2.753 5.242
-4.267 -2.774 3.416
-0.104 -6.116 0.403
Ba Ag Na
2 1 1
Direct
0.750 0.750 0.750
0.250 0.250 0.250
0.500 0.500 0.500
0.000 0.000 0.000

***

Stability ranking, top and bottom: run i is the most stable and run ii is the least stable.

***

Run i
Ba2NaAg PBE relaxed; total moment = 0.000 Bohr magnetons per cell; symmetry = C2/m (12)
1.0
4.635 0.000 0.000
-2.317 8.197 -0.421
0.000 -0.117 9.396
Na Ba Ag
2 4 2
Direct
0.624 0.249 0.959
0.376 0.751 0.041
0.969 0.938 0.716
0.232 0.464 0.685
0.768 0.536 0.315
0.031 0.062 0.284
0.407 0.814 0.452
0.593 0.186 0.548

***

Run ii
Ba2NaAg PBE relaxed; total moment = 0.000 Bohr magnetons per cell; symmetry = P4/mmm (123)
1.0
-1.321 -4.155 -0.927
4.622 -2.196 3.260
-3.495 0.005 4.959
Na Ba Ag
1 2 1
Direct
0.500 0.500 0.500
0.000 0.500 0.000
0.000 0.000 0.500
0.500 0.000 0.000

***

Run iii
Ba2NaAg PBE relaxed; total moment = 0.000 Bohr magnetons per cell; symmetry = R3m (160)
1.0
4.845 0.000 0.000
2.423 4.196 0.000
2.423 1.399 9.786
Ag Ba Na
1 2 1
Direct
0.666 0.666 0.002
0.269 0.269 0.192
0.064 0.064 0.809
0.501 0.501 0.497

***

Stability ranking, top and bottom: run i is the most stable and run ii is the least stable.

***

Run i
Ba6NaAg PBE relaxed; total moment = 0.002 Bohr magnetons per cell; symmetry = C2/m (12)
1.0
-5.206 -6.372 0.972
-0.082 -3.082 7.860
-5.273 2.996 5.654
Ba Na Ag
6 1 1
Direct
0.258 0.537 0.376
0.742 0.463 0.624
0.742 0.087 0.376
0.258 0.913 0.624
0.270 0.263 0.000
0.730 0.737 0.000
0.000 0.000 0.000
0.500 0.500 0.000

***

Run ii
Ba6NaAg PBE relaxed; total moment = 0.000 Bohr magnetons per cell; symmetry = I4/mmm (139)
1.0
-5.144 -2.259 2.551
-0.613 -3.931 -4.716
3.105 -10.565 4.367
Ba Na Ag
6 1 1
Direct
0.404 0.904 0.192
0.096 0.596 0.808
0.904 0.404 0.192
0.748 0.748 0.503
0.596 0.096 0.808
0.252 0.252 0.497
0.500 0.500 0.000
0.000 0.000 0.000

***

Stability ranking, top and bottom: run ii is the most stable and run i is the least stable.

***

Run i
Ba4NaAg2 PBE relaxed; total moment = 0.000 Bohr magnetons per cell; symmetry = R-3m (166)
1.0
-2.802 -3.863 3.260
2.281 -5.237 0.877
5.002 0.709 10.262
Na Ba Ag
1 4 2
Direct
0.500 0.500 0.500
0.888 0.888 0.336
0.112 0.112 0.664
0.297 0.297 0.110
0.703 0.703 0.890
0.596 0.596 0.213
0.404 0.404 0.787

***

Run ii
Ba4NaAg2 PBE relaxed; total moment = 0.000 Bohr magnetons per cell; symmetry = Cmcm (63)
1.0
6.131 0.000 0.000
-3.066 5.300 0.000
0.000 0.000 18.461
Ag Na Ba
4 2 8
Direct
0.833 0.666 0.566
0.833 0.666 0.934
0.167 0.334 0.066
0.167 0.334 0.434
0.499 0.999 0.750
0.501 0.001 0.250
0.167 0.334 0.250
0.500 0.000 0.500
0.166 0.332 0.882
0.500 0.000 0.000
0.166 0.332 0.618
0.834 0.668 0.382
0.834 0.668 0.118
0.833 0.666 0.750

***

Stability ranking, top and bottom: run ii is the most stable and run i is the least stable.

***

Run i
Ba2NaTlAg PBE relaxed; total moment = 0.000 Bohr magnetons per cell; symmetry = P4/mmm (123)
1.0
-3.443 3.808 4.010
-3.093 -5.242 2.322
3.794 -0.560 3.790
Ba Na Tl Ag
2 1 1 1
Direct
0.000 0.500 0.000
0.500 0.000 0.000
0.500 0.500 0.500
0.000 0.000 0.500
0.000 0.000 0.000

***

Run ii
Ba2NaTlAg PBE relaxed; total moment = 0.000 Bohr magnetons per cell; symmetry = P4/mmm (123)
1.0
-5.274 -1.527 3.372
2.246 -5.985 0.804
2.456 1.531 4.535
Na Tl Ag Ba
1 1 1 2
Direct
0.000 0.000 0.500
0.500 0.500 0.500
0.000 0.000 0.000
0.000 0.500 0.000
0.500 0.000 0.000

***

Stability ranking, top and bottom: run i is the most stable and run ii is the least stable.

***

Run i
Ba2NbAg PBE relaxed; total moment = 4.192 Bohr magnetons per cell; symmetry = Fm-3m (225)
1.0
0.000 4.154 4.154
4.154 0.000 4.154
4.154 4.154 0.000
Ba Nb Ag
2 1 1
Direct
0.750 0.750 0.750
0.250 0.250 0.250
0.000 0.000 0.000
0.500 0.500 0.500

***

Run ii
Ba2NbAg PBE relaxed; total moment = 7.592 Bohr magnetons per cell; symmetry = I-42d (122)
1.0
-2.264 -1.694 8.649
8.780 -1.210 2.061
3.550 1.914 6.091
Ag Nb Ba
2 2 4
Direct
0.750 0.250 0.500
0.000 0.000 0.000
0.250 0.750 0.500
0.500 0.500 0.000
0.875 0.892 0.750
0.108 0.625 0.250
0.642 0.125 0.250
0.375 0.358 0.750

***

Stability ranking, top and bottom: run i is the most stable and run ii is the least stable.